{"formula": "CoOs2PbO8", "functional": "PBE+U", "state": "relaxed", "sg": "P-3, No. 147", "e_tot_ev_per_fu": -81.2, "lattice": [[5.696, 0.000, 0.000], [-2.848, 4.933, 0.000], [0.000, 0.000, 6.933]], "species": ["Co", "Os", "Os", "Pb", "O", "O", "O", "O", "O", "O", "O", "O"], "frac_coords": [[0.000, 0.000, 0.000], [0.333, 0.667, 0.243], [0.667, 0.333, 0.757], [0.000, 0.000, 0.500], [0.093, 0.315, 0.189], [0.222, 0.907, 0.189], [0.315, 0.222, 0.811], [0.333, 0.667, 0.502], [0.667, 0.333, 0.498], [0.685, 0.778, 0.189], [0.778, 0.093, 0.811], [0.907, 0.685, 0.811]]}